Entry 1:
The following is a PBE calculation of CuRuSe2 after structural relaxation, from Alexandria.

Geometry as POSCAR:
```
CuRuSe2
1.0
5.575 0.000 0.000
0.000 5.575 0.000
2.788 2.788 5.462
Ru Cu Se
2 2 4
direct
0.000 0.000 0.000
0.750 0.250 0.500
0.500 0.500 0.000
0.250 0.750 0.500
0.629 0.125 0.250
0.121 0.625 0.250
0.375 0.371 0.750
0.875 0.879 0.750
```

Its uncorrected formation energy is -0.010 eV per atom. The spin magnetization is 0.00 μB per atom.

Entry 2:
The following is a PBE calculation of Th2NpGe3Ir4 after structural relaxation, from Alexandria.

Geometry as POSCAR:
```
Th2NpGe3Ir4
1.0
-0.942 -1.718 3.738
2.578 -3.235 -0.837
8.463 5.535 4.676
Th Np Ge Ir
2 1 3 4
direct
0.500 0.000 0.230
0.000 0.500 0.770
0.500 0.500 0.500
0.000 0.000 0.500
0.500 0.000 0.876
0.000 0.500 0.124
0.500 0.500 0.000
0.000 0.000 0.000
0.500 0.000 0.654
0.000 0.500 0.346
```

As for the formation energy from the elements: -684 kJ/mol of formula units. The spin magnetization is 0.35 μB per atom.

Entry 3:
The following is a PBE calculation of LiCeHo2 after structural relaxation, from Alexandria.

Geometry as POSCAR:
```
LiCeHo2
1.0
-1.044 3.231 1.112
0.174 -1.110 3.391
8.183 2.506 0.400
Ho Ce Li
2 1 1
direct
0.000 0.000 0.770
0.000 0.000 0.230
0.500 0.500 0.500
0.500 0.500 0.000
```

As for the formation energy from the elements: 42 kJ/mol of formula units. The spin magnetization is 0.05 μB per atom.

Entry 4:
The following is a PBE calculation of K3MnI6 after structural relaxation, from Alexandria.

Geometry as POSCAR:
```
K3MnI6
1.0
-0.725 -5.043 -8.265
9.664 -0.733 -0.581
-0.183 -8.359 4.936
K Mn I
6 2 12
direct
0.437 0.913 0.774
0.913 0.774 0.437
0.226 0.563 0.087
0.774 0.437 0.913
0.087 0.226 0.563
0.563 0.087 0.226
0.000 0.000 0.000
0.500 0.500 0.500
0.264 0.925 0.099
0.075 0.901 0.736
0.545 0.784 0.456
0.901 0.736 0.075
0.456 0.545 0.784
0.216 0.544 0.455
0.784 0.456 0.545
0.544 0.455 0.216
0.099 0.264 0.925
0.455 0.216 0.544
0.925 0.099 0.264
0.736 0.075 0.901
```

Its uncorrected formation energy is -0.974 eV per atom. The spin magnetization is 0.40 μB per atom.

Entry 5:
The following is a PBE calculation of Sc2FePb after structural relaxation, from Alexandria.

Geometry as POSCAR:
```
Sc2FePb
1.0
5.856 -0.126 -0.045
3.043 5.005 0.045
-3.969 -3.315 2.750
Fe Pb Sc
1 1 2
direct
0.503 0.503 0.000
0.285 0.785 0.500
0.003 0.003 0.000
0.710 0.210 0.500
```

As for the formation energy from the elements: -31 kJ/mol of formula units. The spin magnetization is 0.22 μB per atom.

Entry 6:
The following is a PBE calculation of NaNbN2O after structural relaxation, from Alexandria.

Geometry as POSCAR:
```
NaNbN2O
1.0
4.120 0.000 0.000
0.000 4.120 0.000
0.000 0.000 4.058
Na Nb O N
1 1 1 2
direct
0.500 0.500 0.500
0.000 0.000 0.000
0.000 0.000 0.500
0.000 0.500 0.000
0.500 0.000 0.000
```

Its uncorrected formation energy is -0.533 eV per atom. The spin magnetization is 0.35 μB per atom.